1.
Entry from the Alexandria database: a geometry-optimized Ag3PbBr structure (PBE).

Structure (CIF):
```
data_Ag3PbBr
_symmetry_space_group_name_H-M 'P 1'
_symmetry_Int_Tables_number 1
_cell_length_a 5.442
_cell_length_b 5.442
_cell_length_c 5.442
_cell_angle_alpha 90.00
_cell_angle_beta 90.00
_cell_angle_gamma 90.00
loop_
_symmetry_equiv_pos_as_xyz
'x,y,z'
loop_
_atom_site_label
_atom_site_fract_x
_atom_site_fract_y
_atom_site_fract_z
Ag1 0.000 0.000 0.500
Ag2 0.000 0.500 0.000
Ag3 0.500 0.000 0.000
Pb1 0.000 0.000 0.000
Br1 0.500 0.500 0.500
```

Summary:
Energy above the lowest structure with this stoichiometry = 2 meV/atom
SG = Pm-3m
Calculated total energy = -2.200 eV per atom

***

2.
Entry from the Alexandria database: a geometry-optimized AgPb2Br2 structure (PBE).

Structure (CIF):
```
data_AgPb2Br2
_symmetry_space_group_name_H-M 'P 1'
_symmetry_Int_Tables_number 1
_cell_length_a 7.821
_cell_length_b 7.821
_cell_length_c 5.071
_cell_angle_alpha 90.00
_cell_angle_beta 90.00
_cell_angle_gamma 90.00
loop_
_symmetry_equiv_pos_as_xyz
'x,y,z'
loop_
_atom_site_label
_atom_site_fract_x
_atom_site_fract_y
_atom_site_fract_z
Ag1 0.000 0.000 0.000
Ag2 0.500 0.500 0.000
Pb1 0.173 0.327 0.000
Pb2 0.327 0.827 0.000
Pb3 0.673 0.173 0.000
Pb4 0.827 0.673 0.000
Br1 0.176 0.676 0.500
Br2 0.324 0.176 0.500
Br3 0.676 0.824 0.500
Br4 0.824 0.324 0.500
```

Summary:
SG = P4/mbm
Calculated total energy = -2.978 eV per atom

***

What is the calculated total energy in the first record? -2.200 eV per atom